A geometry-optimized PuNiSn structure. Source: Alexandria, functional PBE.

```
data_PuNiSn
_chemical_formula_sum 'Pu4 Ni4 Sn4'
_space_group_name_H-M_alt 'C 1 2/m 1'
_space_group_IT_number 12
_space_group_name_Hall '-C 2y'
_cell_length_a 7.618
_cell_length_b 4.410
_cell_length_c 8.472
_cell_angle_alpha 90.00
_cell_angle_beta 107.42
_cell_angle_gamma 90.00
loop_
_atom_site_label
_atom_site_fract_x
_atom_site_fract_y
_atom_site_fract_z
Pu1 0.244 0.000 0.234
Ni1 0.136 0.500 0.412
Sn1 0.000 0.000 0.500
Sn2 0.000 0.500 0.000
```

Computed properties:
electronic total energy: -8.20 eV/atom
energy of formation from the pure elements: -0.48 eV/f.u.
crystal system: monoclinic